BaLi2Cl | the Alexandria database | GGA-PBE | optimized geometry; space-group type = No. 166; Fermi-level density of states = 0.689 states/eV/atom; DFT total energy = -2.559 eV/atom; size of the total moment = 0.823 μB/cell; raw formation energy = -0.660 eV/atom
1.0
-2.371 -8.887 -3.320
1.479 -9.230 -2.873
-0.886 -9.737 0.175
Ba Cl Li
1 1 2
Direct
0.250 0.250 0.250
0.750 0.750 0.750
0.034 0.034 0.034
0.466 0.466 0.466